# 1
DFT (GGA-PBE) results for crystalline CrP2PbCl at its relaxed geometry.

Geometry as POSCAR:
```
CrP2PbCl
1.0
-2.225 0.572 4.599
-2.210 -4.615 -0.495
4.091 -2.202 2.253
P Pb Cr Cl
2 1 1 1
Cartesian
-1.112 0.286 2.300
-1.105 -2.307 -0.248
0.000 0.000 0.000
-0.172 -3.122 3.178
2.046 -1.101 1.127
```

Calculated values
- Size of the total moment: 0.33 μB/cell
- Offset from the most stable computed form: 1.508 eV/atom

---

# 2
DFT (GGA-PBE) results for crystalline CrPPbCl2 at its relaxed geometry.

Geometry as POSCAR:
```
CrPPbCl2
1.0
5.260 0.000 0.000
0.000 5.260 0.000
0.000 0.000 5.341
Cl P Cr Pb
2 1 1 1
Cartesian
0.000 2.630 0.000
2.630 0.000 0.000
0.000 0.000 2.671
2.630 2.630 2.671
0.000 0.000 0.000
```

Calculated values
- Size of the total moment: 4.03 μB/cell
- Offset from the most stable computed form: 0.754 eV/atom

---

# 3
DFT (GGA-PBE) results for crystalline Cr2PPbCl at its relaxed geometry.

Geometry as POSCAR:
```
Cr2PPbCl
1.0
4.699 0.000 0.000
0.000 5.931 0.000
0.000 0.000 4.699
P Pb Cl Cr
1 1 1 2
Cartesian
0.000 0.000 0.000
0.000 2.965 0.000
2.349 2.965 2.349
0.000 0.000 2.349
2.349 0.000 0.000
```

Calculated values
- Size of the total moment: 9.22 μB/cell

---

Number 1: E_form (uncorrected) 1581 meV/atom. Number 2: E_form (uncorrected) 456 meV/atom. Number 3: E_form (uncorrected) 309 meV/atom.